(i)
# ErCo6 GGA-PBE relaxed
# **Density**: 8.0 g/cm3
data_ErCo6
_chemical_formula_sum 'Er2 Co12'
_cell_length_a 6.009
_cell_length_b 6.009
_cell_length_c 6.009
_cell_angle_alpha 90.00
_cell_angle_beta 90.00
_cell_angle_gamma 90.00
_space_group_name_H-M_alt 'I m -3 m'
_space_group_IT_number 229
_space_group_name_Hall '-I 4 2 3'
loop_
_atom_site_label
_atom_site_fract_x
_atom_site_fract_y
_atom_site_fract_z
Er1 0.000 0.000 0.000
Co1 0.000 0.250 0.500

(ii)
# ErCo6 GGA-PBE relaxed
# **Density**: 5.9 g/cm3
data_ErCo6
_chemical_formula_sum 'Er1 Co6'
_cell_length_a 5.262
_cell_length_b 5.262
_cell_length_c 5.262
_cell_angle_alpha 90.00
_cell_angle_beta 90.00
_cell_angle_gamma 90.00
_space_group_name_H-M_alt 'P m -3 m'
_space_group_IT_number 221
_space_group_name_Hall '-P 4 2 3'
loop_
_atom_site_label
_atom_site_fract_x
_atom_site_fract_y
_atom_site_fract_z
Er1 0.000 0.000 0.000
Co1 0.195 0.500 0.500

Stability verdict: (i), ahead by 46.3 kJ/mol of atoms

(i)
# Er3GaCo GGA-PBE relaxed
# **Density**: 8.7 g/cm3
data_Er3GaCo
_chemical_formula_sum 'Er6 Ga2 Co2'
_cell_length_a 6.706
_cell_length_b 4.933
_cell_length_c 7.263
_cell_angle_alpha 90.00
_cell_angle_beta 93.74
_cell_angle_gamma 90.00
_space_group_name_H-M_alt 'P 1 m 1'
_space_group_IT_number 6
loop_
_space_group_symop_operation_xyz
'x,y,z'
'x,-y,z'
loop_
_atom_site_label
_atom_site_fract_x
_atom_site_fract_y
_atom_site_fract_z
Er1 0.000 0.000 0.000
Er2 0.063 0.500 0.339
Er3 0.313 0.000 0.637
Er4 0.450 0.000 0.181
Er5 0.608 0.500 0.874
Er6 0.802 0.000 0.558
Ga1 0.070 0.500 0.752
Ga2 0.530 0.500 0.404
Co1 0.260 0.500 0.054
Co2 0.632 0.000 0.867

(ii)
# Er3GaCo GGA-PBE relaxed
# **Density**: 9.1 g/cm3
data_Er3GaCo
_chemical_formula_sum 'Er12 Ga4 Co4'
_cell_length_a 9.807
_cell_length_b 6.199
_cell_length_c 8.403
_cell_angle_alpha 90.00
_cell_angle_beta 115.52
_cell_angle_gamma 90.00
_space_group_name_H-M_alt 'C 1 2/m 1'
_space_group_IT_number 12
loop_
_space_group_symop_operation_xyz
'x,y,z'
'-x,-y,-z'
'-x,y,-z'
'x,-y,z'
'x+1/2,y+1/2,z'
'-x+1/2,-y+1/2,-z'
'-x+1/2,y+1/2,-z'
'x+1/2,-y+1/2,z'
loop_
_atom_site_label
_atom_site_fract_x
_atom_site_fract_y
_atom_site_fract_z
Er1 0.012 0.000 0.227
Er2 0.188 0.500 0.862
Er3 0.200 0.500 0.331
Ga1 0.000 0.292 0.500
Co1 0.000 0.312 0.000

Stability verdict: (ii), ahead by 10.4 kJ/mol of atoms